# 1
ZrBRh2 | GGA-PBE | optimized geometry

Unit cell a=6.776 b=6.776 c=5.184 alpha=90.00 beta=90.00 gamma=90.00
Fractional positions:
Zr 0.000 0.000 0.000
Zr 0.000 0.500 0.250
Zr 0.500 0.000 0.750
Zr 0.500 0.500 0.500
B 0.000 0.000 0.500
B 0.000 0.500 0.750
B 0.500 0.000 0.250
B 0.500 0.500 0.000
Rh 0.143 0.250 0.625
Rh 0.250 0.643 0.875
Rh 0.250 0.857 0.375
Rh 0.357 0.250 0.125
Rh 0.643 0.750 0.125
Rh 0.750 0.143 0.375
Rh 0.750 0.357 0.875
Rh 0.857 0.750 0.625

=====

# 2
ZrB2Rh | GGA-PBE | optimized geometry

Summary:
Relative energy among the computed polymorphs (eV per atom): 0.0000

Unit cell a=3.861 b=3.861 c=14.610 alpha=90.00 beta=90.00 gamma=90.00
Fractional positions:
Zr 0.000 0.250 0.375
Zr 0.000 0.750 0.625
Zr 0.500 0.250 0.125
Zr 0.500 0.750 0.875
B 0.000 0.000 0.000
B 0.000 0.500 0.000
B 0.250 0.250 0.750
B 0.250 0.750 0.250
B 0.500 0.000 0.500
B 0.500 0.500 0.500
B 0.750 0.250 0.750
B 0.750 0.750 0.250
Rh 0.000 0.250 0.875
Rh 0.000 0.750 0.125
Rh 0.500 0.250 0.625
Rh 0.500 0.750 0.375

=====

# 3
B3Ru5 | GGA-PBE | optimized geometry

Unit cell a=5.927 b=5.927 c=6.550 alpha=116.89 beta=116.89 gamma=90.00
Fractional positions:
B 0.140 0.860 0.000
B 0.250 0.750 0.500
B 0.360 0.360 0.000
B 0.640 0.640 0.000
B 0.750 0.250 0.500
B 0.860 0.140 0.000
Ru 0.000 0.500 0.000
Ru 0.016 0.016 0.718
Ru 0.202 0.516 0.718
Ru 0.298 0.298 0.282
Ru 0.484 0.798 0.282
Ru 0.500 0.000 0.000
Ru 0.516 0.202 0.718
Ru 0.702 0.702 0.718
Ru 0.798 0.484 0.282
Ru 0.984 0.984 0.282

=====

Number 1: total magnetic moment 0.0 μB per formula unit, energy of formation -0.509 eV per atom. Number 2: total magnetic moment 0.0 μB per formula unit, energy of formation -0.150 eV per atom. Number 3: total magnetic moment 0.0 μB per formula unit, energy of formation -0.017 eV per atom.